Compound: RbCrH24S2O20
Source: Alexandria via LeMat-Bulk
Functional: PBE+U
Structure: optimized geometry

Geometry as extended XYZ:
```
192
Lattice="12.451 0.000 0.000 0.000 12.451 0.000 0.000 0.000 12.451" Properties=species:S:1:pos:R:3 pbc="T T T"
H 3.789 3.514 0.110
H 0.578 9.820 5.900
H 8.609 11.912 11.409
H 4.799 4.094 2.710
H 10.015 2.712 12.341
H 12.341 10.015 2.712
H 4.094 2.710 4.799
H 10.320 3.515 7.652
H 7.267 3.843 5.687
H 3.843 5.687 7.267
H 9.741 11.025 2.131
H 12.126 0.578 8.856
H 3.515 11.025 4.094
H 10.068 0.539 5.184
H 6.551 11.873 2.631
H 5.900 5.647 3.595
H 11.025 4.094 3.515
H 12.341 8.662 8.937
H 3.843 0.539 1.042
H 9.820 5.900 0.578
H 3.514 0.110 3.789
H 1.426 10.320 2.710
H 11.873 3.595 0.325
H 8.936 4.799 2.131
H 11.912 7.267 2.383
H 2.436 9.739 0.110
H 0.578 8.856 12.126
H 2.712 6.336 3.789
H 7.652 10.320 3.515
H 8.662 8.937 12.341
H 6.115 10.015 3.514
H 8.936 1.426 8.357
H 1.042 3.843 0.539
H 10.015 3.514 6.115
H 9.820 0.325 6.804
H 5.900 0.578 9.820
H 3.514 6.115 10.015
H 5.647 3.595 5.900
H 12.126 5.647 2.631
H 11.873 2.631 6.551
H 2.712 12.341 10.015
H 11.912 11.409 8.609
H 5.184 8.609 6.764
H 8.856 12.126 0.578
H 8.662 9.739 6.115
H 7.652 8.357 9.741
H 2.131 9.741 11.025
H 6.804 9.820 0.325
H 5.687 11.409 10.068
H 3.789 2.712 6.336
H 0.110 2.436 9.739
H 4.094 3.515 11.025
H 5.687 7.267 3.843
H 2.436 8.937 6.336
H 9.739 6.115 8.662
H 2.383 6.764 1.042
H 6.115 8.662 9.739
H 10.320 2.710 1.426
H 2.710 1.426 10.320
H 0.325 11.873 3.595
H 4.799 2.131 8.936
H 11.409 10.068 5.687
H 9.739 0.110 2.436
H 8.609 6.764 5.184
H 0.110 3.789 3.514
H 6.764 1.042 2.383
H 11.409 8.609 11.912
H 3.595 0.325 11.873
H 2.383 11.912 7.267
H 0.539 1.042 3.843
H 1.042 2.383 6.764
H 7.267 2.383 11.912
H 6.336 3.789 2.712
H 1.426 8.357 8.936
H 11.025 2.131 9.741
H 8.357 9.741 7.652
H 2.631 6.551 11.873
H 2.710 4.799 4.094
H 9.741 7.652 8.357
H 0.539 5.184 10.068
H 5.184 10.068 0.539
H 3.515 7.652 10.320
H 8.937 6.336 2.436
H 6.804 8.856 6.551
H 6.764 5.184 8.609
H 8.856 6.551 6.804
H 6.551 6.804 8.856
H 5.647 2.631 12.126
H 2.131 8.936 4.799
H 0.325 6.804 9.820
H 3.595 5.900 5.647
H 6.336 2.436 8.937
H 2.631 12.126 5.647
H 8.357 8.936 1.426
H 8.937 12.341 8.662
H 10.068 5.687 11.409
O 2.397 3.035 1.083
O 7.309 3.829 9.417
O 10.461 6.065 12.249
O 10.054 9.260 5.143
O 4.515 3.693 11.906
O 9.127 9.127 9.127
O 1.711 8.759 5.680
O 11.368 8.622 3.191
O 0.161 6.023 10.461
O 2.902 9.127 9.549
O 2.533 0.545 10.740
O 5.143 10.054 9.260
O 9.127 9.549 2.902
O 6.023 8.215 6.386
O 4.515 2.533 5.680
O 6.428 1.990 12.291
O 1.990 12.291 6.428
O 9.918 11.906 1.711
O 2.397 3.191 7.309
O 11.906 4.515 3.693
O 10.740 3.693 6.771
O 1.083 3.829 9.260
O 4.236 0.161 0.202
O 9.549 3.324 2.902
O 6.065 12.249 10.461
O 10.054 9.417 11.368
O 8.622 3.035 5.143
O 3.829 9.417 7.309
O 3.035 5.143 8.622
O 9.260 1.083 3.829
O 12.249 10.461 6.065
O 9.417 11.368 10.054
O 6.428 4.236 6.065
O 3.324 3.324 3.324
O 3.829 9.260 1.083
O 1.990 6.386 0.202
O 3.191 7.309 2.397
O 9.918 6.771 7.936
O 6.771 7.936 9.918
O 12.249 8.215 12.291
O 5.143 8.622 3.035
O 8.759 0.545 7.936
O 6.386 0.202 1.990
O 9.260 5.143 10.054
O 8.759 5.680 1.711
O 11.368 10.054 9.417
O 9.417 7.309 3.829
O 3.693 6.771 10.740
O 7.936 9.918 6.771
O 8.622 3.191 11.368
O 3.693 11.906 4.515
O 8.215 6.386 6.023
O 11.906 1.711 9.918
O 0.161 0.202 4.236
O 3.035 1.083 2.397
O 0.202 4.236 0.161
O 0.545 7.936 8.759
O 5.680 4.515 2.533
O 2.902 9.549 3.324
O 8.215 12.291 12.249
O 9.549 2.902 9.127
O 10.461 0.161 6.023
O 12.291 6.428 1.990
O 6.065 6.428 4.236
O 0.202 1.990 6.386
O 7.936 8.759 0.545
O 1.711 9.918 11.906
O 12.291 12.249 8.215
O 6.023 10.461 0.161
O 3.191 11.368 8.622
O 0.545 10.740 2.533
O 4.236 6.065 6.428
O 3.324 2.902 9.549
O 5.680 1.711 8.759
O 1.083 2.397 3.035
O 6.771 10.740 3.693
O 6.386 6.023 8.215
O 7.309 2.397 3.191
O 2.533 5.680 4.515
O 10.740 2.533 0.545
Cr 0.000 0.000 6.226
Cr 0.000 6.226 0.000
Cr 6.226 6.226 6.226
Cr 6.226 0.000 0.000
S 3.772 9.997 8.680
S 3.772 8.680 2.454
S 2.454 2.454 2.454
S 8.680 2.454 3.772
S 9.997 8.680 3.772
S 8.680 3.772 9.997
S 9.997 9.997 9.997
S 2.454 3.772 8.680
Rb 6.226 6.226 0.000
Rb 0.000 0.000 0.000
Rb 6.226 0.000 6.226
Rb 0.000 6.226 6.226
```

Computed properties:
The value obtained for the total energy is -1019.94 eV/cell.